1.
Compound: Cs2NaPuF8
Source: the Alexandria database
Functional: PBE
Structure: relaxed

Cell lengths 6.440, 6.440, 7.383 Å; angles 115.86, 115.86, 90.00 degrees
Last column: magnetic moment on the atom in μB.
Sites, in units of the cell vectors:
Cs: 0.750 0.250 0.500  0.00
Cs: 0.000 0.000 0.000  0.00
Na: 0.500 0.500 0.000  0.00
Pu: 0.250 0.750 0.500  3.26
F: 0.169 0.654 0.719  -0.03
F: 0.550 0.654 0.719  -0.03
F: 0.346 0.450 0.281  -0.03
F: 0.935 0.831 0.281  -0.03
F: 0.550 0.065 0.719  -0.03
F: 0.346 0.831 0.281  -0.03
F: 0.169 0.065 0.719  -0.03
F: 0.935 0.450 0.281  -0.03


2.
Compound: CsNaPu2F8
Source: the Alexandria database
Functional: PBE
Structure: relaxed

Cell lengths 4.058, 6.542, 8.001 Å; angles 85.35, 90.00, 89.99 degrees
Last column: magnetic moment on the atom in μB.
Sites, in units of the cell vectors:
Cs: 0.000 0.000 0.500  0.00
Na: 0.000 0.000 0.000  0.00
Pu: 0.500 0.478 0.759  4.99
Pu: 0.500 0.522 0.241  4.99
F: 0.000 0.740 0.219  -0.01
F: 0.500 0.720 0.979  -0.01
F: 0.000 0.335 0.243  -0.01
F: 0.000 0.260 0.781  -0.01
F: 0.500 0.280 0.021  -0.01
F: 0.000 0.665 0.757  -0.01
F: 0.500 0.692 0.495  -0.01
F: 0.500 0.308 0.505  -0.01


3.
Compound: Cs2RbNaF4
Source: the Alexandria database
Functional: PBE
Structure: relaxed

Cell lengths 4.059, 7.159, 14.592 Å; angles 90.00, 90.00, 106.47 degrees
Last column: magnetic moment on the atom in μB.
Sites, in units of the cell vectors:
Cs: 0.365 0.729 0.545  0.01
Cs: 0.635 0.271 0.045  0.01
Cs: 0.635 0.271 0.455  0.01
Cs: 0.365 0.729 0.955  0.01
Rb: 0.122 0.245 0.750  0.00
Rb: 0.878 0.755 0.250  0.00
Na: 0.841 0.682 0.750  0.00
Na: 0.159 0.318 0.250  0.00
F: 0.272 0.545 0.141  0.01
F: 0.728 0.455 0.641  0.01
F: 0.728 0.455 0.859  0.01
F: 0.272 0.545 0.359  0.01
F: 0.000 0.000 0.500  0.07
F: 0.000 0.000 0.000  0.07
F: 0.420 0.841 0.750  0.00
F: 0.580 0.159 0.250  0.00


4.
Compound: Cs3Rb2NaF6
Source: the Alexandria database
Functional: PBE
Structure: relaxed

Cell lengths 7.040, 7.040, 7.078 Å; angles 99.70, 99.70, 119.79 degrees
Last column: magnetic moment on the atom in μB.
Sites, in units of the cell vectors:
Cs: 0.166 0.834 0.500  0.01
Cs: 0.834 0.166 0.500  0.01
Cs: 0.500 0.500 0.500  0.01
Rb: 0.334 0.666 0.000  0.00
Rb: 0.666 0.334 0.000  0.00
Na: 0.000 0.000 0.000  0.00
F: 0.927 0.624 0.782  0.05
F: 0.767 0.767 0.224  0.05
F: 0.073 0.376 0.218  0.05
F: 0.624 0.927 0.782  0.05
F: 0.233 0.233 0.776  0.05
F: 0.376 0.073 0.218  0.05


5.
Compound: CsRb2NaF
Source: the Alexandria database
Functional: PBE
Structure: relaxed

Cell lengths 5.628, 5.628, 7.652 Å; angles 90.00, 90.00, 90.00 degrees
Sites, in units of the cell vectors:
Cs: 0.500 0.500 0.500
Na: 0.000 0.000 0.500
Rb: 0.000 0.500 0.000
Rb: 0.500 0.000 0.000
F: 0.000 0.000 0.000

## Properties
As for the offset from the most stable computed form: 0.131 eV/atom.


6.
Compound: Cs4Rb3NaF8
Source: the Alexandria database
Functional: PBE
Structure: relaxed

Cell lengths 8.202, 8.237, 8.208 Å; angles 119.86, 119.97, 90.00 degrees
Sites, in units of the cell vectors:
Cs: 0.500 0.000 0.000
Cs: 0.500 0.000 0.500
Cs: 0.000 0.000 0.000
Cs: 0.000 0.000 0.500
Rb: 0.500 0.500 0.000
Rb: 0.500 0.500 0.500
Rb: 0.000 0.500 0.500
Na: 0.000 0.500 0.000
F: 0.232 0.723 0.991
F: 0.234 0.724 0.467
F: 0.256 0.266 0.511
F: 0.759 0.723 0.991
F: 0.241 0.277 0.009
F: 0.744 0.734 0.489
F: 0.766 0.276 0.533
F: 0.768 0.277 0.009


7.
Compound: CsRb2NaF4
Source: the Alexandria database
Functional: PBE
Structure: relaxed

Cell lengths 4.004, 7.048, 13.782 Å; angles 90.00, 90.00, 106.50 degrees
Last column: magnetic moment on the atom in μB.
Sites, in units of the cell vectors:
Cs: 0.115 0.229 0.750  0.00
Cs: 0.885 0.771 0.250  0.00
Rb: 0.368 0.737 0.542  0.00
Rb: 0.632 0.263 0.042  0.00
Rb: 0.632 0.263 0.458  0.00
Rb: 0.368 0.737 0.958  0.00
Na: 0.847 0.694 0.750  0.00
Na: 0.153 0.306 0.250  0.00
F: 0.260 0.520 0.129  0.01
F: 0.740 0.480 0.629  0.01
F: 0.740 0.480 0.871  0.01
F: 0.260 0.520 0.371  0.01
F: 0.000 0.000 0.500  0.10
F: 0.000 0.000 0.000  0.10
F: 0.427 0.854 0.750  0.00
F: 0.573 0.146 0.250  0.00


8.
Compound: CsRbNaF3
Source: the Alexandria database
Functional: PBE
Structure: relaxed

Cell lengths 4.032, 6.687, 9.718 Å; angles 102.09, 90.00, 90.00 degrees
Last column: magnetic moment on the atom in μB.
Sites, in units of the cell vectors:
Cs: 0.750 0.650 0.677  0.00
Cs: 0.250 0.350 0.323  0.00
Rb: 0.250 0.764 0.057  0.00
Rb: 0.750 0.236 0.943  0.00
Na: 0.250 0.121 0.634  0.00
Na: 0.750 0.879 0.366  0.00
F: 0.250 0.807 0.464  0.03
F: 0.750 0.042 0.178  0.04
F: 0.750 0.571 0.184  0.07
F: 0.750 0.193 0.536  0.03
F: 0.250 0.429 0.816  0.07
F: 0.250 0.958 0.822  0.04


9.
Compound: CsRb2NaF
Source: the Alexandria database
Functional: PBE
Structure: relaxed

Cell lengths 6.134, 6.134, 6.361 Å; angles 90.00, 90.00, 90.00 degrees
Sites, in units of the cell vectors:
Cs: 0.000 0.000 0.500
Na: 0.500 0.500 0.500
Rb: 0.000 0.500 0.000
Rb: 0.500 0.000 0.000
F: 0.000 0.000 0.000

## Properties
As for the offset from the most stable computed form: 0.000 eV/atom.


10.
Compound: Cs2RbNa2F7
Source: the Alexandria database
Functional: PBE
Structure: relaxed

Cell lengths 4.510, 4.510, 12.305 Å; angles 79.49, 79.48, 89.98 degrees
Last column: magnetic moment on the atom in μB.
Sites, in units of the cell vectors:
Cs: 0.819 0.819 0.361  0.02
Cs: 0.181 0.181 0.639  0.02
Rb: 0.000 0.000 0.000  0.00
Na: 0.595 0.595 0.810  0.00
Na: 0.405 0.405 0.190  0.00
F: 0.500 0.500 0.000  0.31
F: 0.304 0.304 0.389  0.22
F: 0.696 0.696 0.611  0.22
F: 0.907 0.407 0.185  0.25
F: 0.407 0.907 0.185  0.25
F: 0.593 0.093 0.815  0.25
F: 0.093 0.593 0.815  0.25


11.
Compound: CsNaReF6
Source: the Alexandria database
Functional: PBE
Structure: relaxed

Cell lengths 8.024, 7.697, 7.734 Å; angles 119.84, 121.25, 90.00 degrees
Last column: magnetic moment on the atom in μB.
Sites, in units of the cell vectors:
Cs: 0.881 0.631 0.762  0.00
Cs: 0.119 0.369 0.238  0.00
Na: 0.500 0.000 0.500  0.00
Na: 0.000 0.000 0.500  0.00
Re: 0.500 0.500 0.000  2.37
Re: 0.500 0.000 0.000  2.37
F: 0.561 0.811 0.122  0.04
F: 0.846 0.096 0.691  0.00
F: 0.799 0.165 0.253  0.09
F: 0.454 0.588 0.253  0.09
F: 0.454 0.165 0.253  0.09
F: 0.799 0.588 0.253  0.09
F: 0.439 0.189 0.878  0.04
F: 0.154 0.904 0.309  0.00
F: 0.201 0.835 0.747  0.09
F: 0.546 0.412 0.747  0.09
F: 0.546 0.835 0.747  0.09
F: 0.201 0.412 0.747  0.09


12.
Compound: CsNaRuF6
Source: the Alexandria database
Functional: PBE
Structure: relaxed

Cell lengths 5.844, 5.843, 6.304 Å; angles 90.05, 89.94, 59.86 degrees
Last column: magnetic moment on the atom in μB.
Sites, in units of the cell vectors:
Cs: 0.000 0.000 0.000  0.00
Na: 0.666 0.666 0.500  0.00
Ru: 0.333 0.333 0.500  1.54
F: 0.051 0.348 0.323  0.06
F: 0.348 0.051 0.677  0.06
F: 0.600 0.350 0.677  0.06
F: 0.049 0.603 0.676  0.06
F: 0.350 0.600 0.323  0.06
F: 0.603 0.049 0.324  0.06


In eV per atom, the total energy values for the records above are, in order, -5.659 -7.125 -4.031 -4.035 -2.053 -4.030 -4.086 -4.108 -2.184 -3.779 -5.223 -4.823.
In meV/atom, the formation energy (no corrections) values for the records above are, in order, -2965 -3308 -2596 -2615 -857 -2617 -2637 -2649 -988 -2245 -2351 -2304.